Record 1
First-principles (PBE) data for Li5Re after structural relaxation, as listed in Alexandria.

Space group: No. 123
E_form (eV/atom): 0.166
ΔE to the lowest computed polymorph (eV per atom): 0.000
Energy (eV per atom): -3.50

Geometry as POSCAR:
```
Li5Re
1.0
2.597 0.000 0.000
0.000 2.597 0.000
0.000 0.000 14.481
Li Re
5 1
Cartesian
0.000 0.000 0.000 Li
0.000 0.000 5.077 Li
0.000 0.000 9.404 Li
1.298 1.298 2.499 Li
1.298 1.298 11.982 Li
1.298 1.298 7.241 Re
```


Record 2
First-principles (PBE) data for UPa3Ge5 after structural relaxation, as listed in Alexandria.

Space group: No. 193
E_form (eV/atom): -0.465
Energy (eV per atom): -7.45

Geometry as POSCAR:
```
UPa3Ge5
1.0
8.776 0.000 0.000
-4.388 7.600 0.000
0.000 0.000 5.766
U Pa Ge
2 6 10
Cartesian
0.000 0.000 0.000 U
0.000 0.000 2.883 U
-1.667 2.887 1.442 Pa
-2.721 4.713 4.325 Pa
3.333 0.000 1.442 Pa
1.667 2.887 4.325 Pa
5.443 0.000 4.325 Pa
2.721 4.713 1.442 Pa
-1.252 2.168 4.325 Ge
-3.136 5.432 1.442 Ge
2.504 0.000 4.325 Ge
1.252 2.168 1.442 Ge
0.000 5.067 0.000 Ge
0.000 5.067 2.883 Ge
4.388 2.533 0.000 Ge
4.388 2.533 2.883 Ge
6.272 0.000 1.442 Ge
3.136 5.432 4.325 Ge
```


Record 3
First-principles (PBE) data for LaTc2Rh after structural relaxation, as listed in Alexandria.

Space group: No. 6
E_form (eV/atom): 0.066
ΔE to the lowest computed polymorph (eV per atom): 0.010
Energy (eV per atom): -8.19

Geometry as POSCAR:
```
LaTc2Rh
1.0
3.100 0.000 0.000
0.000 3.109 0.000
-0.014 0.000 7.623
La Tc Rh
1 2 1
Cartesian
0.000 0.000 0.000 La
1.537 1.554 5.255 Tc
3.084 0.000 3.915 Tc
1.539 1.554 2.247 Rh
```


Record 4
First-principles (PBE) data for NaLiInI3 after structural relaxation, as listed in Alexandria.

ΔE_f (raw) (kJ/mol of formula units): -554.4
Space group: No. 11
Energy (eV per atom): -2.73

Geometry as POSCAR:
```
NaLiInI3
1.0
9.629 0.000 0.000
0.000 4.680 0.000
-2.416 0.000 10.145
Na Li In I
2 2 2 6
Cartesian
1.202 1.170 1.445 Na
6.011 3.510 8.700 Na
3.009 3.510 4.036 Li
4.204 1.170 6.109 Li
1.032 3.510 8.029 In
6.182 1.170 2.117 In
-1.400 1.170 8.400 I
1.732 1.170 4.813 I
3.471 3.510 1.327 I
3.742 1.170 8.818 I
5.482 3.510 5.332 I
8.613 3.510 1.745 I
```


Record 5
First-principles (PBE) data for SmAg2Hg after structural relaxation, as listed in Alexandria.

Space group: No. 225
E_form (eV/atom): -0.242
ΔE to the lowest computed polymorph (eV per atom): 0.000
Energy (eV per atom): -2.92

Geometry as POSCAR:
```
SmAg2Hg
1.0
7.084 0.000 0.000
0.000 7.084 0.000
0.000 0.000 7.084
Sm Ag Hg
4 8 4
Cartesian
0.000 0.000 0.000 Sm
0.000 3.542 3.542 Sm
3.542 0.000 3.542 Sm
3.542 3.542 0.000 Sm
1.771 1.771 1.771 Ag
1.771 1.771 5.313 Ag
1.771 5.313 1.771 Ag
1.771 5.313 5.313 Ag
5.313 1.771 1.771 Ag
5.313 1.771 5.313 Ag
5.313 5.313 1.771 Ag
5.313 5.313 5.313 Ag
0.000 0.000 3.542 Hg
0.000 3.542 0.000 Hg
3.542 0.000 0.000 Hg
3.542 3.542 3.542 Hg
```


Record 6
First-principles (PBE) data for LaCoMo2 after structural relaxation, as listed in Alexandria.

Space group: No. 44
E_form (eV/atom): 0.613
ΔE to the lowest computed polymorph (eV per atom): 0.296
Energy (eV per atom): -7.81

Geometry as POSCAR:
```
LaCoMo2
1.0
3.346 0.000 0.000
0.000 5.143 0.000
0.000 0.000 8.540
La Co Mo
2 2 4
Cartesian
0.000 0.000 0.000 La
1.673 2.571 4.270 La
0.000 2.571 2.024 Co
1.673 0.000 6.294 Co
0.000 0.000 4.380 Mo
0.000 2.571 6.709 Mo
1.673 0.000 2.439 Mo
1.673 2.571 0.110 Mo
```


Record 7
First-principles (PBE) data for CsK2LiTl after structural relaxation, as listed in Alexandria.

Space group: No. 123
E_form (eV/atom): 0.057
ΔE to the lowest computed polymorph (eV per atom): 0.016
Energy (eV per atom): -1.41

Geometry as POSCAR:
```
CsK2LiTl
1.0
6.815 0.000 0.000
0.000 6.815 0.000
0.000 0.000 5.570
Cs K Li Tl
1 2 1 1
Cartesian
0.000 0.000 0.000 Cs
0.000 3.407 2.785 K
3.407 0.000 2.785 K
3.407 3.407 2.785 Li
3.407 3.407 0.000 Tl
```


Record 8
First-principles (PBE) data for Y2NiTe after structural relaxation, as listed in Alexandria.

ΔE_f (raw) (kJ/mol of formula units): -314.2
Space group: No. 160
Energy (eV per atom): -6.28

Geometry as POSCAR:
```
Y2NiTe
1.0
4.115 0.000 0.000
-2.058 3.564 0.000
0.000 0.000 21.364
Y Ni Te
6 3 3
Cartesian
0.000 0.000 0.000 Y
0.000 0.000 4.218 Y
0.000 2.376 14.242 Y
0.000 2.376 18.461 Y
2.058 1.188 7.121 Y
2.058 1.188 11.339 Y
0.000 0.000 12.752 Ni
0.000 2.376 5.631 Ni
2.058 1.188 19.873 Ni
0.000 0.000 9.237 Te
0.000 2.376 2.115 Te
2.058 1.188 16.358 Te
```


Record 9
First-principles (PBE) data for HgPbN2 after structural relaxation, as listed in Alexandria.

ΔE_f (raw) (kJ/mol of formula units): 67.9
Space group: No. 1
ΔE to the lowest computed polymorph (eV per atom): 0.000
Energy (eV per atom): -4.99

Geometry as POSCAR:
```
HgPbN2
1.0
3.293 0.000 0.000
0.264 4.874 0.000
0.099 0.420 9.346
Hg Pb N
1 1 2
Cartesian
0.000 0.000 0.000 Hg
1.872 2.855 8.226 Pb
1.893 0.280 3.815 N
2.124 4.186 4.365 N
```


Record 10
First-principles (PBE) data for Ta2BePt after structural relaxation, as listed in Alexandria.

Space group: No. 12
E_form (eV/atom): -0.231
Energy (eV per atom): -8.60

Geometry as POSCAR:
```
Ta2BePt
1.0
5.606 0.000 0.000
0.000 7.946 0.000
-0.013 0.000 2.789
Ta Be Pt
4 2 2
Cartesian
1.401 1.986 0.000 Ta
1.401 5.959 0.000 Ta
4.204 1.986 0.000 Ta
4.204 5.959 0.000 Ta
-0.007 0.000 1.394 Be
2.796 3.973 1.394 Be
-0.007 3.973 1.394 Pt
2.796 0.000 1.394 Pt
```


Record 11
First-principles (PBE) data for AlCuNi after structural relaxation, as listed in Alexandria.

Space group: No. 129
E_form (eV/atom): -0.208
ΔE to the lowest computed polymorph (eV per atom): 0.194
Energy (eV per atom): -4.75

Geometry as POSCAR:
```
AlCuNi
1.0
3.636 0.000 0.000
0.000 3.636 0.000
0.000 0.000 5.974
Al Cu Ni
2 2 2
Cartesian
0.909 0.909 1.334 Al
2.727 2.727 4.640 Al
0.909 0.909 4.822 Cu
2.727 2.727 1.152 Cu
0.909 2.727 2.987 Ni
2.727 0.909 2.987 Ni
```


Record 12
First-principles (PBE) data for AlGaAgGe2 after structural relaxation, as listed in Alexandria.

Space group: No. 123
E_form (eV/atom): 0.686
Energy (eV per atom): -3.08

Geometry as POSCAR:
```
AlGaAgGe2
1.0
5.053 0.000 0.000
0.000 5.053 0.000
0.000 0.000 4.876
Al Ga Ag Ge
1 1 1 2
Cartesian
0.000 0.000 0.000 Al
2.526 2.526 0.000 Ga
2.526 2.526 2.438 Ag
0.000 2.526 2.438 Ge
2.526 0.000 2.438 Ge
```


Record 13
First-principles (PBE) data for NbCdAsSe2 after structural relaxation, as listed in Alexandria.

ΔE_f (raw) (kJ/mol of formula units): -12.0
Space group: No. 123
ΔE to the lowest computed polymorph (eV per atom): 0.000
Energy (eV per atom): -4.55

Geometry as POSCAR:
```
NbCdAsSe2
1.0
5.018 0.000 0.000
0.000 5.018 0.000
0.000 0.000 5.175
Nb Cd As Se
1 1 1 2
Cartesian
0.000 0.000 0.000 Nb
2.509 2.509 2.588 Cd
0.000 0.000 2.588 As
0.000 2.509 0.000 Se
2.509 0.000 0.000 Se
```


Record 14
First-principles (PBE) data for Li8Ti2O7 after structural relaxation, as listed in Alexandria.

ΔE_f (raw) (kJ/mol of formula units): -3526.8
Space group: No. 14
Energy (eV per atom): -6.02

Geometry as POSCAR:
```
Li8Ti2O7
1.0
7.622 0.000 0.000
0.000 10.344 0.000
-3.310 0.000 9.090
Li Ti O
32 8 28
Cartesian
-1.247 2.508 3.626 Li
-2.902 2.663 8.171 Li
-1.782 5.334 5.828 Li
-0.127 10.182 1.283 Li
-0.554 0.118 4.208 Li
-2.209 5.053 8.753 Li
-1.479 7.380 8.082 Li
0.176 8.135 3.537 Li
-0.392 0.279 6.687 Li
1.263 4.893 2.142 Li
0.605 5.780 5.122 Li
2.260 9.735 0.577 Li
0.072 5.321 7.891 Li
1.727 10.195 3.346 Li
-0.237 1.634 9.058 Li
1.418 3.538 4.513 Li
2.893 6.806 4.578 Li
4.548 8.710 0.032 Li
2.584 0.149 5.745 Li
4.239 5.023 1.200 Li
2.052 0.608 8.513 Li
3.707 4.563 3.968 Li
3.048 5.451 6.948 Li
4.703 10.065 2.403 Li
4.135 2.209 5.554 Li
5.791 2.963 1.008 Li
6.521 5.290 0.337 Li
4.866 10.225 4.882 Li
4.438 0.162 7.807 Li
6.093 5.010 3.262 Li
7.214 7.680 0.919 Li
5.558 7.835 5.464 Li
1.031 2.258 1.648 Ti
-0.624 2.914 6.193 Ti
2.309 7.301 1.978 Ti
0.654 8.215 6.523 Ti
3.657 2.129 2.567 Ti
2.002 3.043 7.112 Ti
4.935 7.429 2.897 Ti
3.280 8.086 7.442 Ti
-1.521 1.403 5.393 O
0.134 3.769 0.847 O
0.089 1.193 2.788 O
-1.566 3.978 7.333 O
1.161 1.104 0.123 O
-0.494 4.068 4.668 O
-0.581 6.728 6.452 O
1.074 8.788 1.907 O
1.348 6.431 3.380 O
-0.307 9.085 7.926 O
2.508 6.009 0.640 O
0.853 9.507 5.185 O
0.508 1.789 7.377 O
2.163 3.383 2.832 O
2.149 6.961 6.258 O
3.804 8.554 1.713 O
3.459 0.837 3.905 O
1.803 4.335 8.450 O
4.619 1.259 1.165 O
2.963 3.913 5.710 O
3.237 1.556 7.183 O
4.892 3.616 2.638 O
4.806 6.276 4.422 O
3.151 9.240 8.967 O
5.878 6.365 1.757 O
4.223 9.150 6.302 O
4.178 6.575 8.243 O
5.833 8.940 3.698 O
```


Record 15
First-principles (PBE) data for Ga2Ni2Sb after structural relaxation, as listed in Alexandria.

ΔE_f (raw) (kJ/mol of formula units): -71.9
Space group: No. 139
ΔE to the lowest computed polymorph (eV per atom): 0.000
Energy (eV per atom): -4.50

Geometry as POSCAR:
```
Ga2Ni2Sb
1.0
3.666 0.000 0.000
0.000 3.666 0.000
0.000 0.000 11.713
Ga Ni Sb
4 4 2
Cartesian
0.000 1.833 2.928 Ga
0.000 1.833 8.785 Ga
1.833 0.000 2.928 Ga
1.833 0.000 8.785 Ga
0.000 0.000 1.256 Ni
0.000 0.000 10.457 Ni
1.833 1.833 4.601 Ni
1.833 1.833 7.113 Ni
0.000 0.000 5.857 Sb
1.833 1.833 0.000 Sb
```


Record 16
First-principles (PBE) data for KTl2Hg2Sb2 after structural relaxation, as listed in Alexandria.

ΔE_f (raw) (kJ/mol of formula units): -68.8
Space group: No. 166
Energy (eV per atom): -2.20

Geometry as POSCAR:
```
KTl2Hg2Sb2
1.0
2.696 1.557 9.095
-2.696 1.557 9.095
0.000 -3.113 9.095
K Tl Hg Sb
1 2 2 2
Cartesian
0.000 0.000 0.000 K
0.000 0.000 3.570 Tl
0.000 0.000 23.714 Tl
0.000 0.000 11.069 Hg
0.000 0.000 16.216 Hg
0.000 0.000 6.798 Sb
0.000 0.000 20.486 Sb
```


Record 17
First-principles (PBE) data for KNi2Ir after structural relaxation, as listed in Alexandria.

Space group: No. 160
E_form (eV/atom): 0.624
ΔE to the lowest computed polymorph (eV per atom): 0.144
Energy (eV per atom): -4.76

Geometry as POSCAR:
```
KNi2Ir
1.0
2.739 0.000 0.000
-1.369 2.372 0.000
0.000 0.000 28.580
K Ni Ir
3 6 3
Cartesian
0.000 0.000 0.000 K
0.000 1.581 19.053 K
1.369 0.791 9.527 K
0.000 0.000 6.779 Ni
0.000 0.000 14.429 Ni
0.000 1.581 4.903 Ni
0.000 1.581 25.832 Ni
1.369 0.791 16.305 Ni
1.369 0.791 23.956 Ni
0.000 0.000 21.907 Ir
0.000 1.581 12.380 Ir
1.369 0.791 2.853 Ir
```


Record 18
First-principles (PBE) data for DySn3Pd6 after structural relaxation, as listed in Alexandria.

Space group: No. 11
E_form (eV/atom): -0.575
Energy (eV per atom): -5.35

Geometry as POSCAR:
```
DySn3Pd6
1.0
9.209 0.000 0.000
0.000 3.883 0.000
-2.493 0.000 10.941
Dy Sn Pd
2 6 12
Cartesian
-0.341 0.971 2.550 Dy
7.057 2.912 8.390 Dy
-0.278 0.971 6.401 Sn
0.338 2.912 10.264 Sn
2.814 0.971 3.470 Sn
3.901 2.912 7.471 Sn
6.378 0.971 0.677 Sn
6.994 2.912 4.540 Sn
-1.536 0.971 10.691 Pd
0.710 2.912 4.642 Pd
1.675 2.912 1.871 Pd
1.059 2.912 7.702 Pd
2.521 0.971 6.139 Pd
3.754 0.971 0.926 Pd
2.962 2.912 10.015 Pd
4.195 2.912 4.802 Pd
5.657 0.971 3.239 Pd
5.041 0.971 9.069 Pd
6.006 0.971 6.299 Pd
8.251 2.912 0.250 Pd
```


Record 19
First-principles (PBE) data for Ba2TiHg after structural relaxation, as listed in Alexandria.

Space group: No. 225
E_form (eV/atom): 0.408
ΔE to the lowest computed polymorph (eV per atom): 0.000
Energy (eV per atom): -2.60

Geometry as POSCAR:
```
Ba2TiHg
1.0
8.280 0.000 0.000
0.000 8.280 0.000
0.000 0.000 8.280
Ba Ti Hg
8 4 4
Cartesian
2.070 2.070 2.070 Ba
2.070 2.070 6.210 Ba
2.070 6.210 2.070 Ba
2.070 6.210 6.210 Ba
6.210 2.070 2.070 Ba
6.210 2.070 6.210 Ba
6.210 6.210 2.070 Ba
6.210 6.210 6.210 Ba
0.000 0.000 0.000 Ti
0.000 4.140 4.140 Ti
4.140 0.000 4.140 Ti
4.140 4.140 0.000 Ti
0.000 0.000 4.140 Hg
0.000 4.140 0.000 Hg
4.140 0.000 0.000 Hg
4.140 4.140 4.140 Hg
```


Record 20
First-principles (PBE) data for Ac3P2Rh9Au after structural relaxation, as listed in Alexandria.

Space group: No. 164
E_form (eV/atom): -0.560
Energy (eV per atom): -6.73

Geometry as POSCAR:
```
Ac3P2Rh9Au
1.0
6.103 0.000 0.000
-3.051 5.285 0.000
0.000 0.000 9.434
Ac P Rh Au
3 2 9 1
Cartesian
0.000 0.000 0.000 Ac
0.000 3.523 6.096 Ac
3.051 1.762 3.338 Ac
0.000 3.523 1.471 P
3.051 1.762 7.963 P
-1.526 2.643 0.000 Rh
0.000 1.637 2.597 Rh
-1.634 4.467 2.597 Rh
1.417 0.818 6.837 Rh
3.051 0.000 0.000 Rh
1.526 2.643 0.000 Rh
1.634 4.467 2.597 Rh
4.685 0.818 6.837 Rh
3.051 3.648 6.837 Rh
0.000 0.000 4.717 Au
```